Entry 1:
The following is a PBE calculation of a geometry-optimized Zr2PaTl2Te6 structure, from the Alexandria database.

Values from the calculation:
DOS(E_F) ... 0.719 states/eV per atom
E_form (uncorrected) ... -0.724 eV/atom

Unit cell a=7.113 b=7.113 c=8.929 alpha=97.47 beta=97.47 gamma=120.23
Each line ends with the local moment (μB).
Atoms (fractional coordinates):
Zr 0.330 0.670 0.500  0.35
Zr 0.670 0.330 0.500  0.35
Pa 0.000 0.000 0.500  0.91
Tl 0.839 0.161 0.000  0.01
Tl 0.161 0.839 0.000  0.01
Te 0.723 0.723 0.711  -0.02
Te 0.072 0.412 0.713  -0.02
Te 0.277 0.277 0.289  -0.02
Te 0.412 0.072 0.713  -0.02
Te 0.928 0.588 0.287  -0.02
Te 0.588 0.928 0.287  -0.02

---

Entry 2:
The following is a PBE calculation of a geometry-optimized LaPu2Ga6 structure, from the Alexandria database.

Values from the calculation:
Energy of formation ... -436 meV per atom
DOS(E_F) ... 1.898 states/eV per atom

Unit cell a=3.610 b=7.877 c=7.877 alpha=120.00 beta=90.01 gamma=90.00
Each line ends with the local moment (μB).
Atoms (fractional coordinates):
La 0.000 0.000 0.000  -0.02
Pu 0.000 0.333 0.667  -5.33
Pu 0.000 0.667 0.333  -5.33
Ga 0.500 0.337 0.337  0.00
Ga 0.500 0.663 0.663  0.00
Ga 0.500 0.000 0.663  0.00
Ga 0.500 0.663 0.000  0.00
Ga 0.500 0.337 0.000  0.00
Ga 0.500 0.000 0.337  0.00

---

Entry 3:
The following is a PBE calculation of a geometry-optimized Sm4TlCd structure, from the Alexandria database.

Values from the calculation:
Energy of formation ... -104 meV per atom
DOS(E_F) ... 0.988 states/eV per atom

Unit cell a=3.630 b=6.588 c=9.217 alpha=117.70 beta=90.00 gamma=105.99
Atoms (fractional coordinates):
Sm 0.628 0.257 0.787
Sm 0.394 0.789 0.064
Sm 0.104 0.209 0.433
Sm 0.868 0.735 0.710
Tl 0.132 0.265 0.095
Cd 0.372 0.745 0.412

---

Entry 4:
The following is a PBE calculation of a geometry-optimized YTlTe2 structure, from the Alexandria database.

Values from the calculation:
DOS(E_F) ... 0.312 states/eV per atom
E_form (uncorrected) ... -0.385 eV/atom

Unit cell a=11.641 b=11.641 c=5.972 alpha=90.00 beta=90.00 gamma=159.51
Atoms (fractional coordinates):
Y 0.402 0.598 0.250
Y 0.598 0.402 0.750
Tl 0.015 0.985 0.250
Tl 0.985 0.015 0.750
Te 0.141 0.859 0.250
Te 0.859 0.141 0.750
Te 0.811 0.189 0.250
Te 0.189 0.811 0.750

---

Entry 5:
The following is a PBE calculation of a geometry-optimized NdDyInNi structure, from the Alexandria database.

Values from the calculation:
Energy of formation ... -264 meV per atom
DOS(E_F) ... 1.056 states/eV per atom

Unit cell a=5.184 b=5.184 c=5.184 alpha=60.00 beta=60.00 gamma=60.00
Atoms (fractional coordinates):
Ni 0.250 0.250 0.250
In 0.750 0.750 0.750
Nd 0.500 0.500 0.500
Dy 0.000 0.000 0.000

---

Entry 6:
The following is a PBE calculation of a geometry-optimized Th2BeFeCo6 structure, from the Alexandria database.

Values from the calculation:
Energy of formation ... 67 meV per atom
DOS(E_F) ... 0.807 states/eV per atom

Unit cell a=5.952 b=5.952 c=5.952 alpha=60.00 beta=60.00 gamma=90.00
Each line ends with the local moment (μB).
Atoms (fractional coordinates):
Th 0.250 0.750 0.500  -0.20
Th 0.750 0.250 0.500  -0.20
Be 0.000 0.000 0.000  -0.04
Fe 0.500 0.500 0.000  2.43
Co 0.236 0.764 0.000  0.64
Co 0.764 0.764 0.000  0.64
Co 0.236 0.236 0.527  0.64
Co 0.764 0.236 0.000  0.64
Co 0.236 0.236 0.000  0.64
Co 0.764 0.764 0.473  0.64

---

Entry 7:
The following is a PBE calculation of a geometry-optimized Li2AcHo2Tl2 structure, from the Alexandria database.

Values from the calculation:
Energy of formation ... -196 meV per atom
DOS(E_F) ... 0.760 states/eV per atom

Unit cell a=4.933 b=4.933 c=9.711 alpha=75.29 beta=75.29 gamma=60.00
Atoms (fractional coordinates):
Li 0.581 0.581 0.257
Li 0.419 0.419 0.743
Ac 0.000 0.000 0.000
Ho 0.131 0.131 0.606
Ho 0.869 0.869 0.394
Tl 0.747 0.747 0.758
Tl 0.253 0.253 0.242

---

Entry 8:
The following is a PBE calculation of a geometry-optimized TbNd2Dy4Sc structure, from the Alexandria database.

Values from the calculation:
Energy of formation ... 33 meV per atom
DOS(E_F) ... 1.456 states/eV per atom

Unit cell a=5.018 b=5.019 c=11.194 alpha=63.35 beta=90.00 gamma=90.00
Atoms (fractional coordinates):
Tb 0.000 0.500 0.500
Nd 0.000 0.000 0.000
Nd 0.500 0.000 0.500
Dy 0.000 0.745 0.755
Dy 0.000 0.255 0.245
Dy 0.500 0.755 0.245
Dy 0.500 0.245 0.755
Sc 0.500 0.500 0.000

---

Entry 9:
The following is a PBE calculation of a geometry-optimized Mg8CdPd2 structure, from the Alexandria database.

Values from the calculation:
Energy of formation ... -284 meV per atom
DOS(E_F) ... 0.337 states/eV per atom

Unit cell a=5.035 b=7.196 c=7.196 alpha=111.44 beta=97.67 gamma=97.67
Atoms (fractional coordinates):
Mg 0.916 0.937 0.677
Mg 0.916 0.677 0.937
Mg 0.312 0.621 0.621
Mg 0.500 0.750 0.250
Mg 0.500 0.250 0.750
Mg 0.688 0.379 0.379
Mg 0.084 0.323 0.063
Mg 0.084 0.063 0.323
Cd 0.500 0.000 0.000
Pd 0.000 0.319 0.681
Pd 0.000 0.681 0.319

---

Entry 10:
The following is a PBE calculation of a geometry-optimized Mg5In2Au structure, from the Alexandria database.

Values from the calculation:
Energy of formation ... -222 meV per atom
DOS(E_F) ... 0.261 states/eV per atom

Unit cell a=4.660 b=6.076 c=12.326 alpha=90.00 beta=90.00 gamma=90.00
Atoms (fractional coordinates):
Mg 0.500 0.329 0.098
Mg 0.500 0.671 0.902
Mg 0.500 0.829 0.402
Mg 0.500 0.171 0.598
Mg 0.000 0.919 0.728
Mg 0.000 0.081 0.272
Mg 0.000 0.419 0.772
Mg 0.000 0.581 0.228
Mg 0.000 0.500 0.500
Mg 0.000 0.000 0.000
In 0.500 0.347 0.353
In 0.500 0.653 0.647
In 0.500 0.153 0.853
In 0.500 0.847 0.147
Au 0.000 0.000 0.500
Au 0.000 0.500 0.000

---

- The lowest DOS(E_F) belongs to which entry?
  Mg5In2Au

---

- The lowest DOS(E_F) belongs to which entry?
  Mg5In2Au

---

- Look up the DOS(E_F) of the tenth one.
  0.261 states/eV per atom

---

- Which value of DOS(E_F) does entry 4 give?
  0.312 states/eV per atom